Entry 1:
Computed, not measured: AlSb2Pt after structural relaxation at the GGA-PBE level of DFT.

Computed properties:
Total energy = -4.80 eV/atom

The structure in POSCAR format:
```
AlSb2Pt
1.0
-1.5988 3.9436 1.2474
-4.2183 1.1479 0.7434
-0.8907 -0.2930 6.2559
Al Sb Pt
1 2 1
direct
0.4781 0.4781 0.5750
0.2672 0.2672 0.3207
0.0020 0.0020 0.9219
0.7528 0.7528 0.6825
```


Entry 2:
Computed, not measured: DyYCO after structural relaxation at the GGA-PBE level of DFT.

Computed properties:
Total energy = -7.53 eV/atom

The structure in POSCAR format:
```
DyYCO
1.0
-0.9526 -0.3372 -3.0086
1.0335 -3.0791 0.0179
-5.4442 -0.0946 3.4085
Y C O Dy
1 1 1 1
direct
0.4125 0.9125 0.8249
0.8199 0.3199 0.6399
0.0798 0.0798 0.1596
0.6669 0.6669 0.3338
```


Entry 3:
Computed, not measured: LiHoMg4 after structural relaxation at the GGA-PBE level of DFT.

Computed properties:
DFT formation energy = -0.0108 eV per atom
Distance to the lowest polymorph of the same formula = 45.1 meV per atom

The structure in POSCAR format:
```
LiHoMg4
1.0
3.8365 0.0000 0.0000
0.0000 8.0304 0.0000
0.0000 0.0000 9.1278
Mg Ho Li
8 2 2
direct
0.0000 0.0000 0.5000
0.5000 0.6830 0.0440
0.5000 0.3170 0.9560
0.5000 0.9251 0.7500
0.0000 0.0000 0.0000
0.5000 0.3170 0.5440
0.5000 0.0749 0.2500
0.5000 0.6830 0.4560
0.0000 0.6000 0.7500
0.0000 0.4000 0.2500
0.0000 0.7974 0.2500
0.0000 0.2026 0.7500
```


Entry 4:
Computed, not measured: CrRe2Cl after structural relaxation at the GGA-PBE level of DFT.

Computed properties:
Distance to the lowest polymorph of the same formula = 804.5 meV per atom

The structure in POSCAR format:
```
CrRe2Cl
1.0
0.0000 3.0548 3.0548
3.0548 0.0000 3.0548
3.0548 3.0548 0.0000
Re Cr Cl
2 1 1
direct
0.2500 0.2500 0.2500
0.7500 0.7500 0.7500
0.5000 0.5000 0.5000
0.0000 0.0000 0.0000
```


Entry 5:
Computed, not measured: Er6As2P3Se after structural relaxation at the GGA-PBE level of DFT.

Computed properties:
Total energy = -6.35 eV/atom

The structure in POSCAR format:
```
Er6As2P3Se
1.0
-2.9632 -2.5319 0.9601
5.1336 -6.1840 -0.4639
2.0617 3.7616 7.8919
Er As P Se
6 2 3 1
direct
0.6708 0.0804 0.3415
0.3345 0.4130 0.6690
0.0016 0.7381 0.0033
0.6655 0.5870 0.3310
0.9984 0.2619 0.9967
0.3292 0.9196 0.6585
0.8341 0.6686 0.6682
0.1659 0.3314 0.3318
0.1654 0.8336 0.3307
0.5000 0.5000 0.0000
0.8346 0.1664 0.6693
0.5000 0.0000 0.0000
```


Entry 6:
Computed, not measured: CeSm5Sn6 after structural relaxation at the GGA-PBE level of DFT.

Computed properties:
DFT formation energy = -0.6115 eV per atom

The structure in POSCAR format:
```
CeSm5Sn6
1.0
-6.3022 5.6317 1.3204
-4.6757 0.5804 -3.9808
-6.4042 -5.1927 1.9864
Sn Sm Ce
6 5 1
direct
0.2573 0.9077 0.6649
0.7618 0.7331 0.0000
0.2382 0.2669 0.0000
0.7427 0.0923 0.3351
0.2573 0.5726 0.3351
0.7427 0.4274 0.6649
0.5000 0.8380 0.3240
0.0000 0.6709 0.6582
0.5000 0.5000 0.0000
0.5000 0.1620 0.6760
0.0000 0.3291 0.3418
0.0000 0.0000 0.0000
```